First-principles (PBE) data for an optimized crystal structure of CsVSn2, as listed in the Alexandria database.

Computed properties:
E above lowest polymorph, meV per atom: 0.0
Formation energy, eV/f.u.: 1.81
Space group: No. 166
Total DFT energy (no corrections), eV for the cell shown: -16.17

The structure in extended XYZ format:
```
4
Lattice="3.4897 0.0000 0.0000 1.7448 3.0221 0.0000 1.7448 1.0074 11.4542" Properties=species:S:1:pos:R:3 pbc="T T T"
Cs 0.0000 0.0000 0.0000
Sn 1.7448 1.0074 7.8026
Sn 5.2345 3.0221 3.6516
V 3.4897 2.0148 5.7271
```